Computed, not measured: a relaxed structure of Co3PdO at the PBE with a Hubbard U level of DFT.

Unit cell a=4.723 b=4.723 c=4.723 alpha=90.00 beta=90.00 gamma=90.00
Last column: magnetic moment on the atom in μB.
Sites, in units of the cell vectors:
Co1 0.000 0.500 0.000  2.51
Co2 0.000 0.000 0.500  2.65
Co3 0.500 0.000 0.000  2.37
O1 0.500 0.500 0.500  -0.72
Pd1 0.000 0.000 0.000  0.25

Results
Energy above the lowest structure with this stoichiometry in meV per atom: 1401
Total magnetization in μB/atom: 1.38
Energy in eV/atom: -3.57
Space-group type: Pm-3m (221)